(1)
Tb6Er5Tm after structural relaxation. Source: the Alexandria database, functional PBE.

abc: 11.6552 6.1091 6.1045
angles: 59.97 85.01 79.98
Closest atoms and distances in Å follow each position.
Fractional positions:
Er  0.5000  0.8334  0.3333  6 Tb 3.52, 6 Er 3.52-3.53
Er  0.5000  0.1666  0.6667  6 Tb 3.52, 6 Er 3.52-3.53
Er  0.5000  0.5000  0.0000  6 Tb 3.52, 6 Er 3.52-3.53
Er  0.0000  0.6667  0.6667  6 Tb 3.52, 3 Tm 3.52-3.53, 3 Er 3.52-3.53
Er  0.0000  0.3333  0.3333  6 Tb 3.52, 3 Tm 3.52-3.53, 3 Er 3.52-3.53
Tb  0.2499  0.5840  0.3332  5 Er 3.52, 1 Tm 3.52, 6 Tb 3.52-3.53
Tb  0.7501  0.7496  0.0000  5 Er 3.52, 1 Tm 3.52, 6 Tb 3.52-3.53
Tb  0.7501  0.4160  0.6668  5 Er 3.52, 1 Tm 3.52, 6 Tb 3.52-3.53
Tb  0.7501  0.0828  0.3332  5 Er 3.52, 1 Tm 3.52, 6 Tb 3.52-3.53
Tb  0.2499  0.9172  0.6668  5 Er 3.52, 1 Tm 3.52, 6 Tb 3.52-3.53
Tb  0.2499  0.2504  0.0000  5 Er 3.52, 1 Tm 3.52, 6 Tb 3.52-3.53
Tm  0.0000  0.0000  0.0000  6 Tb 3.52, 6 Er 3.52-3.53

(2)
Tb7ErTm3 after structural relaxation. Source: the Alexandria database, functional PBE.

abc: 5.7554 8.3620 8.3620
angles: 83.10 110.19 110.19
Closest atoms and distances in Å follow each position.
Fractional positions:
Tm  0.0000  0.2054  0.7946  9 Tb 3.25-3.60
Tm  0.0000  0.7946  0.2054  9 Tb 3.25-3.60
Tm  0.5000  0.0000  0.0000  4 Tb 3.15
Tb  0.2099  0.2082  0.2082  1 Er 3.24, 2 Tm 3.25, 2 Tb 3.42
Tb  0.0000  0.5000  0.5000  2 Er 2.88
Tb  0.3055  0.0131  0.5983  2 Tm 3.15-3.53, 3 Tb 3.27-3.42
Tb  0.6945  0.4017  0.9869  2 Tm 3.15-3.53, 3 Tb 3.27-3.42
Tb  0.7901  0.7918  0.7918  1 Er 3.24, 2 Tm 3.25, 2 Tb 3.42
Tb  0.6945  0.9869  0.4017  2 Tm 3.15-3.53, 3 Tb 3.27-3.42
Tb  0.3055  0.5983  0.0131  2 Tm 3.15-3.53, 3 Tb 3.27-3.42
Er  0.5000  0.5000  0.5000  2 Tb 2.88

(3)
Tb5Er2Tm12 after structural relaxation. Source: the Alexandria database, functional PBE.

abc: 5.9333 9.5698 11.9467
angles: 118.97 96.01 91.45
Closest atoms and distances in Å follow each position.
Fractional positions:
Tb  0.0000  0.0000  0.5000  8 Tm 3.15-3.52
Tb  0.4948  0.6228  0.6695  8 Tm 3.36-3.58, 1 Er 3.42, 1 Tb 3.57
Tb  0.8995  0.3053  0.8437  8 Tm 3.29-3.68
Tb  0.5052  0.3772  0.3305  8 Tm 3.36-3.58, 1 Er 3.42, 1 Tb 3.57
Tb  0.1005  0.6947  0.1563  8 Tm 3.29-3.68
Tm  0.0374  0.6580  0.8437  4 Tm 3.31-3.43, 2 Er 3.35-3.50, 4 Tb 3.45-3.56
Tm  0.9626  0.3420  0.1563  4 Tm 3.31-3.43, 2 Er 3.35-3.50, 4 Tb 3.45-3.56
Tm  0.4300  0.3315  0.0130  6 Tm 3.39-3.53, 2 Er 3.48-3.61, 4 Tb 3.49-3.76
Tm  0.1627  0.9553  0.7720  4 Tm 3.24-3.53, 3 Er 3.28-3.50, 3 Tb 3.49-3.54
Tm  0.0768  0.6418  0.4561  3 Tb 3.26-3.55, 5 Tm 3.31-3.61
Tm  0.6147  0.6931  0.2879  4 Tb 3.29-3.43, 5 Tm 3.38-3.49
Tm  0.4260  0.0745  0.3945  2 Tb 3.15-3.37, 4 Tm 3.24-3.50, 1 Er 3.51
Tm  0.5700  0.6685  0.9870  6 Tm 3.39-3.53, 2 Er 3.48-3.61, 4 Tb 3.49-3.76
Tm  0.9232  0.3582  0.5439  3 Tb 3.26-3.55, 5 Tm 3.31-3.61
Tm  0.3853  0.3069  0.7121  4 Tb 3.29-3.43, 5 Tm 3.38-3.49
Tm  0.8373  0.0447  0.2280  4 Tm 3.24-3.53, 3 Er 3.28-3.50, 3 Tb 3.49-3.54
Tm  0.5740  0.9255  0.6055  2 Tb 3.15-3.37, 4 Tm 3.24-3.50, 1 Er 3.51
Er  0.2835  0.0129  0.0800  8 Tm 3.28-3.61, 2 Er 3.30-3.63, 1 Tb 3.42
Er  0.7165  0.9871  0.9200  8 Tm 3.28-3.61, 2 Er 3.30-3.63, 1 Tb 3.42

Total energy
In order: -4.571; -4.314; -4.398
Unit: eV/atom
Energy of formation
In order: 0.22; 2.93; 2.38
Unit: eV per formula unit
DOS(E_F)
In order: 15.68; 15.40; 30.10
Unit: states/eV per cell